A relaxed structure of CuSbPt2. Source: Alexandria via LeMat-Bulk, functional GGA-PBEsol.

Summary:
**Magnetization**: 0.0 μB/cell
**Mass density**: 15.2 g/cm³
**Formation energy from raw total energies**: -0.178 eV/atom
**SG**: I4/mmm
**N(E_F)**: 1.59 states/eV/f.u.
**Crystal system**: tetragonal

Lattice parameters (Å, degrees): 4.858 4.858 4.858 131.66 131.66 70.76
Fractional positions:
Cu1 0.000 0.000 0.000
Sb1 0.500 0.500 0.000
Pt1 0.250 0.750 0.500
Pt2 0.750 0.250 0.500